No. 1
VASP calculation (PBE) on a relaxed Li4Ca3Mg crystal.

a = 5.392 Å, b = 7.793 Å, c = 10.784 Å
α = 90.00°, β = 90.00°, γ = 90.00°
Positions (direct):
Li: 0.000 0.272 0.750
Li: 0.500 0.272 0.500
Li: 0.000 0.272 0.250
Li: 0.000 0.728 0.750
Li: 0.500 0.728 0.000
Li: 0.000 0.728 0.250
Li: 0.500 0.272 0.000
Li: 0.500 0.728 0.500
Mg: 0.000 0.500 0.500
Mg: 0.000 0.500 0.000
Ca: 0.000 0.000 0.000
Ca: 0.500 0.500 0.750
Ca: 0.500 0.500 0.250
Ca: 0.000 0.000 0.500
Ca: 0.500 0.000 0.750
Ca: 0.500 0.000 0.250

No. 2
VASP calculation (PBE) on a relaxed Li2Ca2Mg crystal.

a = 8.950 Å, b = 8.950 Å, c = 3.885 Å
α = 90.00°, β = 90.00°, γ = 90.00°
Positions (direct):
Ca: 0.648 0.148 0.000
Ca: 0.148 0.352 0.000
Ca: 0.852 0.648 0.000
Ca: 0.352 0.852 0.000
Mg: 0.000 0.000 0.000
Mg: 0.500 0.500 0.000
Li: 0.352 0.148 0.500
Li: 0.148 0.648 0.500
Li: 0.852 0.352 0.500
Li: 0.648 0.852 0.500

No. 3
VASP calculation (PBE) on a relaxed Li4Ca2Mg3 crystal.

a = 5.908 Å, b = 6.052 Å, c = 8.129 Å
α = 79.78°, β = 68.69°, γ = 60.79°
Positions (direct):
Li: 0.996 0.664 0.345
Li: 0.660 0.336 0.345
Li: 0.004 0.336 0.655
Li: 0.340 0.664 0.655
Mg: 0.000 0.000 0.000
Mg: 0.500 0.500 0.000
Mg: 0.000 0.500 0.000
Ca: 0.631 0.000 0.738
Ca: 0.369 0.000 0.262

No. 4
VASP calculation (PBE) on a relaxed Li4Ca2Mg5 crystal.

a = 6.104 Å, b = 7.376 Å, c = 7.363 Å
α = 74.04°, β = 65.51°, γ = 65.56°
Positions (direct):
Mg: 0.000 0.500 0.500
Mg: 0.753 0.818 0.181
Mg: 0.753 0.182 0.819
Mg: 0.247 0.818 0.181
Mg: 0.247 0.182 0.819
Li: 0.246 0.094 0.414
Li: 0.245 0.416 0.093
Li: 0.755 0.584 0.907
Li: 0.754 0.906 0.586
Ca: 0.693 0.306 0.307
Ca: 0.307 0.694 0.693

No. 5
VASP calculation (PBE) on a relaxed LiCaMg3 crystal.

a = 10.688 Å, b = 8.459 Å, c = 7.692 Å
α = 123.36°, β = 112.06°, γ = 90.00°
Positions (direct):
Ca: 0.750 0.032 0.000
Ca: 0.250 0.533 0.000
Ca: 0.250 0.968 0.000
Ca: 0.750 0.467 0.000
Mg: 0.903 0.742 0.620
Mg: 0.006 0.209 0.920
Mg: 0.597 0.754 0.378
Mg: 0.403 0.246 0.622
Mg: 0.097 0.258 0.380
Mg: 0.597 0.122 0.380
Mg: 0.097 0.624 0.378
Mg: 0.494 0.289 0.080
Mg: 0.994 0.791 0.080
Mg: 0.403 0.878 0.620
Mg: 0.506 0.711 0.920
Mg: 0.903 0.376 0.622
Li: 0.351 0.453 0.403
Li: 0.149 0.050 0.597
Li: 0.649 0.547 0.597
Li: 0.851 0.950 0.403

No. 6
VASP calculation (PBE) on a relaxed Li2Ca5Mg crystal.

a = 5.650 Å, b = 7.097 Å, c = 13.705 Å
α = 90.00°, β = 90.00°, γ = 90.00°
Positions (direct):
Li: 0.500 0.157 0.871
Li: 0.500 0.843 0.129
Li: 0.500 0.343 0.371
Li: 0.500 0.657 0.629
Ca: 0.500 0.164 0.613
Ca: 0.000 0.000 0.000
Ca: 0.500 0.664 0.887
Ca: 0.000 0.142 0.269
Ca: 0.500 0.836 0.387
Ca: 0.000 0.858 0.731
Ca: 0.500 0.336 0.113
Ca: 0.000 0.358 0.769
Ca: 0.000 0.500 0.500
Ca: 0.000 0.642 0.231
Mg: 0.000 0.000 0.500
Mg: 0.000 0.500 0.000

| no. | E (eV/atom) | ΔH_f (0 K) (eV per atom) |
| --- | --- | --- |
| 1 | -1.89 | 0.02 |
| 2 | -1.72 | 0.17 |
| 3 | -1.86 | -0.03 |
| 4 | -1.80 | -0.01 |
| 5 | -1.74 | 0.00 |
| 6 | -1.91 | 0.02 |